# Ce4SbC2

An optimized crystal structure of Ce4SbC2 (PBE, Alexandria via LeMat-Bulk).

```
Ce4SbC2
1.0
3.938 0.000 0.000
-1.969 6.214 0.000
0.000 0.000 12.956
Ce Sb C
8 2 4
direct
0.764 0.529 0.104
0.764 0.529 0.396
0.236 0.471 0.896
0.236 0.471 0.604
0.904 0.808 0.750
0.096 0.192 0.250
0.500 0.000 0.000
0.500 0.000 0.500
0.599 0.197 0.750
0.401 0.803 0.250
0.138 0.277 0.442
0.862 0.723 0.942
0.138 0.277 0.058
0.862 0.723 0.558
```

Results
The calculation puts the formation energy (no corrections) at -0.374 eV/atom. The volume comes out at 317.1 Å³ per cell. Its space group is Cmcm, No. 63.